{"formula": "Ba2CdPdN", "functional": "PBE-GGA", "state": "optimized geometry", "lattice_angstrom": [[-1.7130, 5.4095, 1.5279], [-4.4877, -2.2779, 3.0337], [2.3004, -0.1920, 3.2588]], "species": ["N", "Ba", "Ba", "Pd", "Cd"], "fractional_positions": [[0.0000, 0.0000, 0.0000], [0.0000, 0.5000, 0.0000], [0.5000, 0.0000, 0.0000], [0.0000, 0.0000, 0.5000], [0.5000, 0.5000, 0.5000]], "n_ef_per_ev_cell": 3.5, "sg": "P4/mmm, No. 123", "raw_formation_energy_mev_per_atom": -313}

=====

{"formula": "Ba2CdReN", "functional": "PBE-GGA", "state": "optimized geometry", "lattice_angstrom": [[-2.9884, 4.3056, -2.7533], [-5.0411, -1.9589, 2.4083], [0.5533, 2.3433, 3.0640]], "species": ["Re", "N", "Ba", "Ba", "Cd"], "fractional_positions": [[0.0000, 0.0000, 0.5000], [0.0000, 0.0000, 0.0000], [0.0000, 0.5000, 0.0000], [0.5000, 0.0000, 0.0000], [0.5000, 0.5000, 0.5000]], "n_ef_per_ev_cell": 4.5, "sg": "P4/mmm, No. 123", "raw_formation_energy_mev_per_atom": -118}

=====

{"formula": "Ba2CdRuN", "functional": "PBE-GGA", "state": "optimized geometry", "lattice_angstrom": [[5.9072, 0.0000, 0.0000], [0.0000, 5.9072, 0.0000], [0.0000, 0.0000, 3.8484]], "species": ["Ru", "N", "Ba", "Ba", "Cd"], "fractional_positions": [[0.0000, 0.0000, 0.5000], [0.0000, 0.0000, 0.0000], [0.0000, 0.5000, 0.0000], [0.5000, 0.0000, 0.0000], [0.5000, 0.5000, 0.5000]], "n_ef_per_ev_cell": 3.3, "sg": "P4/mmm, No. 123", "raw_formation_energy_mev_per_atom": -289}

=====

{"formula": "BaCdSN2", "functional": "PBE-GGA", "state": "optimized geometry", "lattice_angstrom": [[-3.1289, -2.8346, -2.0667], [3.5032, -2.3799, -2.0396], [0.2500, -3.9468, 5.0347]], "species": ["S", "N", "N", "Ba", "Cd"], "fractional_positions": [[0.0000, 0.0000, 0.5000], [0.0000, 0.5000, 0.0000], [0.5000, 0.0000, 0.0000], [0.0000, 0.0000, 0.0000], [0.5000, 0.5000, 0.5000]], "n_ef_per_ev_cell": 3.8, "sg": "P4/mmm, No. 123", "raw_formation_energy_mev_per_atom": 1480, "polymorph_energy_kj_per_mol_fu": 421}

=====

{"formula": "BaCdSN2", "functional": "PBE-GGA", "state": "optimized geometry", "lattice_angstrom": [[-3.7317, -1.3118, 2.2267], [-0.1263, -3.8138, -2.4584], [2.9836, -2.4075, 3.5817]], "species": ["S", "N", "N", "Ba", "Cd"], "fractional_positions": [[0.0000, 0.0000, 0.5000], [0.0000, 0.5000, 0.0000], [0.5000, 0.0000, 0.0000], [0.5000, 0.5000, 0.5000], [0.0000, 0.0000, 0.0000]], "n_ef_per_ev_cell": 2.7, "sg": "P4/mmm, No. 123", "raw_formation_energy_mev_per_atom": 608, "polymorph_energy_kj_per_mol_fu": 0}

=====

{"formula": "BaScCd2N", "functional": "PBE-GGA", "state": "optimized geometry", "lattice_angstrom": [[-4.2693, 2.7803, 1.6355], [-3.5726, -5.8195, 0.5669], [1.6190, -0.4995, 5.0755]], "species": ["Sc", "N", "Ba", "Cd", "Cd"], "fractional_positions": [[0.0000, 0.0000, 0.0000], [0.5000, 0.5000, 0.5000], [0.0000, 0.5000, 0.0000], [0.0000, 0.0000, 0.5000], [0.5000, 0.0000, 0.0000]], "n_ef_per_ev_cell": 8.7, "sg": "P4/mmm, No. 123", "raw_formation_energy_mev_per_atom": 1482}

=====

{"formula": "BaCdSeN2", "functional": "PBE-GGA", "state": "optimized geometry", "lattice_angstrom": [[-1.2808, 2.1706, 3.8018], [4.0333, -1.5989, 2.2716], [2.2481, 3.7251, -1.3695]], "species": ["N", "N", "Ba", "Se", "Cd"], "fractional_positions": [[0.0000, 0.0000, 0.5000], [0.5000, 0.0000, 0.0000], [0.5000, 0.5000, 0.5000], [0.0000, 0.0000, 0.0000], [0.0000, 0.5000, 0.0000]], "n_ef_per_ev_cell": 4.0, "sg": "P4/mmm, No. 123", "raw_formation_energy_mev_per_atom": 1084, "polymorph_energy_kj_per_mol_fu": 211}

=====

{"formula": "BaCdSeN2", "functional": "PBE-GGA", "state": "optimized geometry", "lattice_angstrom": [[4.4123, 0.0000, 0.0000], [0.0000, 4.4123, 0.0000], [0.0000, 0.0000, 6.8116]], "species": ["N", "N", "Ba", "Se", "Cd"], "fractional_positions": [[0.0000, 0.5000, 0.0000], [0.5000, 0.0000, 0.0000], [0.0000, 0.0000, 0.0000], [0.0000, 0.0000, 0.5000], [0.5000, 0.5000, 0.5000]], "n_ef_per_ev_cell": 7.3, "sg": "P4/mmm, No. 123", "raw_formation_energy_mev_per_atom": 1456, "polymorph_energy_kj_per_mol_fu": 390}